Below is SrGe2SeS after structural relaxation, with properties calculated at the PBE-GGA level.

It has space group P4/mmm (No. 123), with a = 5.060 Å, b = 5.060 Å, c = 5.048 Å, α = 90.00°, β = 90.00° and γ = 90.00°. The asymmetric unit holds Sr at (0.000, 0.000, 0.000), Ge at (0.000, 0.500, 0.500), Se at (0.500, 0.500, 0.000) and S at (0.500, 0.500, 0.500).

For the calculated volume, the calculation gives 25.848 A^3/atom. The spin magnetization is 0.096 μB/atom. The value obtained for the uncorrected energy is -3.751 eV per atom. The calculation puts the formation energy from raw total energies at -4.33 kJ/mol of atoms.